The following is a PBE calculation of crystalline NdInNiPt at its relaxed geometry, from the Alexandria database.

Structure (POSCAR):
```
NdInNiPt
1.0
6.823 0.000 0.000
0.000 6.823 0.000
0.000 0.000 6.823
Nd In Ni Pt
4 4 4 4
direct
0.000 0.000 0.000
0.000 0.500 0.500
0.500 0.000 0.500
0.500 0.500 0.000
0.000 0.000 0.500
0.000 0.500 0.000
0.500 0.000 0.000
0.500 0.500 0.500
0.250 0.250 0.750
0.250 0.750 0.250
0.750 0.250 0.250
0.750 0.750 0.750
0.250 0.250 0.250
0.250 0.750 0.750
0.750 0.250 0.750
0.750 0.750 0.250
```

Calculated values
Density of states at the Fermi level = 11.4 states/eV/cell
E_tot = -5.37 eV/atom

=====

The following is a PBE calculation of crystalline Nd2InNi4Sb3 at its relaxed geometry, from the Alexandria database.

Structure (POSCAR):
```
Nd2InNi4Sb3
1.0
4.390 0.000 0.000
0.000 4.390 0.000
0.000 0.000 10.350
Nd In Ni Sb
2 1 4 3
direct
0.000 0.500 0.237
0.500 0.000 0.763
0.000 0.000 0.500
0.000 0.000 0.000
0.000 0.500 0.632
0.500 0.000 0.368
0.500 0.500 0.000
0.000 0.500 0.872
0.500 0.000 0.128
0.500 0.500 0.500
```

Calculated values
Density of states at the Fermi level = 6.0 states/eV/cell
Formation energy from raw total energies = -613.3 meV per atom

=====

The following is a PBE calculation of crystalline NdIn2Ni2Sn at its relaxed geometry, from the Alexandria database.

Structure (POSCAR):
```
NdIn2Ni2Sn
1.0
4.719 0.000 0.000
0.000 4.719 0.000
0.000 0.000 6.078
Nd In Ni Sn
1 2 2 1
direct
0.000 0.000 0.000
0.500 0.500 0.244
0.500 0.500 0.756
0.000 0.500 0.500
0.500 0.000 0.500
0.000 0.000 0.500
```

Calculated values
Density of states at the Fermi level = 4.0 states/eV/cell
E_tot = -4.40 eV/atom

=====

The following is a PBE calculation of crystalline Nd3Tl2In3Ni at its relaxed geometry, from the Alexandria database.

Structure (POSCAR):
```
Nd3Tl2In3Ni
1.0
7.721 0.000 0.000
-3.861 6.687 0.000
0.000 0.000 4.524
Nd Tl In Ni
3 2 3 1
direct
0.000 0.386 0.000
0.386 0.000 0.000
0.614 0.614 0.000
0.333 0.667 0.500
0.667 0.333 0.500
0.000 0.770 0.500
0.230 0.230 0.500
0.770 0.000 0.500
0.000 0.000 0.000
```

Calculated values
Density of states at the Fermi level = 5.2 states/eV/cell
E_tot = -4.10 eV/atom

=====

The following is a PBE calculation of crystalline NdZnInNi at its relaxed geometry, from the Alexandria database.

Structure (POSCAR):
```
NdZnInNi
1.0
6.806 0.000 0.000
0.000 6.806 0.000
0.000 0.000 6.806
Nd Zn In Ni
4 4 4 4
direct
0.000 0.000 0.000
0.000 0.500 0.500
0.500 0.000 0.500
0.500 0.500 0.000
0.250 0.250 0.750
0.250 0.750 0.250
0.750 0.250 0.250
0.750 0.750 0.750
0.000 0.000 0.500
0.000 0.500 0.000
0.500 0.000 0.000
0.500 0.500 0.500
0.250 0.250 0.250
0.250 0.750 0.750
0.750 0.250 0.750
0.750 0.750 0.250
```

Calculated values
Density of states at the Fermi level = 11.5 states/eV/cell
E_tot = -3.95 eV/atom

=====

The following is a PBE calculation of crystalline Nd3NpIn12 at its relaxed geometry, from the Alexandria database.

Structure (POSCAR):
```
Nd3NpIn12
1.0
4.687 0.000 0.000
0.000 4.687 0.000
0.000 0.000 18.843
Nd Np In
3 1 12
direct
0.000 0.000 0.000
0.000 0.000 0.251
0.000 0.000 0.749
0.000 0.000 0.500
0.000 0.500 0.126
0.000 0.500 0.378
0.000 0.500 0.622
0.000 0.500 0.874
0.500 0.000 0.126
0.500 0.000 0.378
0.500 0.000 0.622
0.500 0.000 0.874
0.500 0.500 0.000
0.500 0.500 0.252
0.500 0.500 0.500
0.500 0.500 0.748
```

Calculated values
Density of states at the Fermi level = 17.6 states/eV/cell
E_tot = -4.11 eV/atom

=====

The following is a PBE calculation of crystalline NdNpIn6 at its relaxed geometry, from the Alexandria database.

Structure (POSCAR):
```
NdNpIn6
1.0
4.669 0.000 0.000
0.000 4.669 0.000
0.000 0.000 9.380
Nd Np In
1 1 6
direct
0.000 0.000 0.000
0.000 0.000 0.500
0.000 0.500 0.255
0.000 0.500 0.745
0.500 0.000 0.255
0.500 0.000 0.745
0.500 0.500 0.000
0.500 0.500 0.500
```

Calculated values
Density of states at the Fermi level = 12.8 states/eV/cell
E_tot = -4.51 eV/atom

=====

The following is a PBE calculation of crystalline NdNp2In9 at its relaxed geometry, from the Alexandria database.

Structure (POSCAR):
```
NdNp2In9
1.0
4.660 0.000 0.000
0.000 4.660 0.000
0.000 0.000 14.034
Nd Np In
1 2 9
direct
0.000 0.000 0.000
0.000 0.000 0.334
0.000 0.000 0.666
0.000 0.500 0.170
0.000 0.500 0.500
0.000 0.500 0.830
0.500 0.000 0.170
0.500 0.000 0.500
0.500 0.000 0.830
0.500 0.500 0.000
0.500 0.500 0.335
0.500 0.500 0.665
```

Calculated values
Density of states at the Fermi level = 24.1 states/eV/cell
E_tot = -4.77 eV/atom

=====

The following is a PBE calculation of crystalline NdNpInO6 at its relaxed geometry, from the Alexandria database.

Structure (POSCAR):
```
NdNpInO6
1.0
5.570 0.000 0.000
-2.785 4.823 0.000
0.000 0.000 10.267
Nd Np In O
2 2 2 12
direct
0.000 0.000 0.000
0.000 0.000 0.500
0.333 0.667 0.250
0.667 0.333 0.750
0.333 0.667 0.750
0.667 0.333 0.250
0.017 0.359 0.138
0.017 0.657 0.362
0.343 0.359 0.362
0.343 0.983 0.138
0.359 0.017 0.638
0.359 0.343 0.862
0.641 0.657 0.138
0.641 0.983 0.362
0.657 0.017 0.862
0.657 0.641 0.638
0.983 0.343 0.638
0.983 0.641 0.862
```

Calculated values
Formation energy from raw total energies = -2598.6 meV per atom

=====

The following is a PBE calculation of crystalline NdNpIn2O8 at its relaxed geometry, from the Alexandria database.

Structure (POSCAR):
```
NdNpIn2O8
1.0
3.571 -3.583 0.000
3.571 3.583 0.000
0.000 0.000 6.936
Nd Np In O
1 1 2 8
direct
0.000 0.000 0.000
0.000 0.000 0.500
0.500 0.500 0.249
0.500 0.500 0.751
0.187 0.813 0.285
0.187 0.813 0.715
0.297 0.297 0.500
0.318 0.318 0.000
0.682 0.682 0.000
0.703 0.703 0.500
0.813 0.187 0.285
0.813 0.187 0.715
```

Calculated values
Density of states at the Fermi level = 2.6 states/eV/cell
Formation energy from raw total energies = -2244.6 meV per atom

=====

The following is a PBE calculation of crystalline Nd2NpIn3Se6 at its relaxed geometry, from the Alexandria database.

Structure (POSCAR):
```
Nd2NpIn3Se6
1.0
3.691 -6.392 0.000
3.691 6.392 0.000
-2.459 0.000 7.711
Nd Np In Se
2 1 3 6
direct
0.167 0.833 0.000
0.833 0.167 0.000
0.500 0.500 0.000
0.000 0.000 0.500
0.332 0.668 0.500
0.668 0.332 0.500
0.101 0.429 0.787
0.244 0.244 0.215
0.429 0.101 0.787
0.571 0.899 0.213
0.756 0.756 0.785
0.899 0.571 0.213
```

Calculated values
Density of states at the Fermi level = 6.1 states/eV/cell
Formation energy from raw total energies = -1123.6 meV per atom

=====

The following is a PBE calculation of crystalline NdNpIn2Te4 at its relaxed geometry, from the Alexandria database.

Structure (POSCAR):
```
NdNpIn2Te4
1.0
7.782 0.000 0.000
0.000 4.479 0.000
-2.588 0.000 8.119
Nd Np In Te
1 1 2 4
direct
0.000 0.000 0.000
0.500 0.500 0.000
0.000 0.500 0.500
0.500 0.000 0.500
0.245 0.500 0.226
0.264 0.000 0.778
0.736 0.000 0.222
0.755 0.500 0.774
```

Calculated values
Density of states at the Fermi level = 7.1 states/eV/cell
Formation energy from raw total energies = -729.7 meV per atom